Entry from Alexandria via LeMat-Bulk: an optimized crystal structure of LaDyHo2Tm2 (PBE-GGA).

Calculated values
formation energy: 1.0 eV per formula unit

Lattice parameters (Å, degrees): 6.9123 15.9898 3.5286 90.00 90.00 90.00
Last column: nearest neighbours and their distance in Å.
Space group Pnnm (No. 58)
Inequivalent atoms, fractional coordinates:
La (0.0000, 0.0000, 0.0000)  2 Dy 3.46, 4 Tm 3.52, 2 La 3.53, 4 Ho 3.55
Dy (0.0000, 0.5000, 0.5000)  2 La 3.46, 4 Tm 3.52, 2 Dy 3.53, 4 Ho 3.54
Ho (0.2484, 0.3412, 0.0000)  4 Tm 3.44-3.47, 2 Ho 3.53, 2 Dy 3.54, 2 La 3.55
Tm (0.2502, 0.1565, 0.5000)  4 Ho 3.44-3.47, 2 Dy 3.52, 2 La 3.52, 2 Tm 3.53

=====

Entry from Alexandria via LeMat-Bulk: an optimized crystal structure of La2Dy2HoTm2 (PBE-GGA).

Calculated values
formation energy: 0.2 eV per formula unit

Lattice parameters (Å, degrees): 11.8893 3.6003 10.6817 90.00 95.50 90.00
Last column: nearest neighbours and their distance in Å.
Space group C2/m (No. 12)
Inequivalent atoms, fractional coordinates:
La (0.0693, 0.0000, 0.2858)  3 Dy 3.56-3.60, 5 Tm 3.57-3.59, 2 Ho 3.57, 2 La 3.60
Dy (0.2143, 0.0000, 0.8568)  2 Tm 3.56, 3 La 3.56-3.60, 3 Ho 3.58-3.59, 4 Dy 3.58-3.60
Ho (0.0000, 0.5000, 0.0000)  4 La 3.57, 6 Dy 3.58-3.59, 2 Ho 3.60
Tm (0.1462, 0.5000, 0.5725)  5 Tm 3.53-3.67, 2 Dy 3.56, 5 La 3.57-3.59

=====

Entry from Alexandria via LeMat-Bulk: an optimized crystal structure of LaDy2Ho4Tm (PBE-GGA).

Calculated values
formation energy: 0.2 eV per formula unit

Lattice parameters (Å, degrees): 12.2752 7.1141 12.2870 90.00 109.34 90.00
Last column: nearest neighbours and their distance in Å.
Space group C2/m (No. 12)
Inequivalent atoms, fractional coordinates:
La (0.2500, 0.2500, 0.0000)  2 Dy 3.55, 2 Tm 3.55, 2 La 3.56, 6 Ho 3.58-3.59
Dy (0.0000, 0.0000, 0.0000)  4 La 3.55, 2 Tm 3.56, 6 Ho 3.57-3.59
Dy (0.0000, 0.0000, 0.5000)  6 Ho 3.51-3.53, 4 Dy 3.55, 2 Tm 3.56
Dy (0.2500, 0.2500, 0.5000)  6 Ho 3.51-3.52, 4 Dy 3.55-3.56, 2 Tm 3.55
Ho (0.0018, 0.2498, 0.2523)  3 Dy 3.52-3.57, 2 Tm 3.53-3.57, 6 Ho 3.54-3.56, 1 La 3.58
Ho (0.2481, 0.5000, 0.7458)  1 Tm 3.51, 3 Dy 3.51-3.59, 6 Ho 3.54-3.56, 2 La 3.59
Ho (0.2486, 0.0000, 0.7462)  3 Dy 3.51, 6 Ho 3.54-3.56, 2 La 3.59, 1 Tm 3.59
Tm (0.0000, 0.5000, 0.0000)  4 La 3.55, 2 Dy 3.56, 6 Ho 3.57-3.59
Tm (0.0000, 0.5000, 0.5000)  6 Ho 3.51-3.53, 6 Dy 3.55-3.56

=====

Entry from Alexandria via LeMat-Bulk: an optimized crystal structure of LaDyHo2Tm (PBE-GGA).

Calculated values
formation energy: 1.8 eV per formula unit

Lattice parameters (Å, degrees): 8.4018 11.4730 7.2197 90.00 90.00 90.00
Last column: nearest neighbours and their distance in Å.
Space group Cmcm (No. 63)
Inequivalent atoms, fractional coordinates:
La (0.0000, 0.2333, 0.2500)  1 Dy 3.09
Dy (0.0000, 0.4971, 0.7500)  1 La 3.09, 4 Ho 3.17, 1 Tm 3.22
Ho (0.1899, 0.0000, 0.0000)  2 Dy 3.17, 1 Ho 3.19, 2 Tm 3.46
Tm (0.0000, 0.2169, 0.7500)  1 Dy 3.22, 4 Ho 3.46